No. 1
Ti6ZnGa5 | GGA-PBE | optimized geometry

Calculated values
The value obtained for the energy above the most stable polymorph in this dataset is 0 meV per atom. For the calculated formation energy, the calculation gives -0.347 eV per atom.

abc: 4.777 5.553 7.558
angles: 90.00 71.58 90.00
Atoms (fractional coordinates):
Ga1 0.334 0.500 0.333
Ga2 0.666 0.500 0.667
Ga3 0.336 0.000 0.328
Ga4 0.664 0.000 0.672
Ga5 0.000 0.500 0.000
Ti1 0.500 0.254 0.000
Ti2 0.168 0.749 0.664
Ti3 0.168 0.251 0.664
Ti4 0.832 0.749 0.336
Ti5 0.500 0.746 0.000
Ti6 0.832 0.251 0.336
Zn1 0.000 0.000 0.000

---

No. 2
Ti6Zn5Ga | GGA-PBE | optimized geometry

Calculated values
For the calculated formation energy, the calculation gives -0.225 eV per atom.

abc: 4.384 6.486 6.935
angles: 90.00 71.54 90.00
Atoms (fractional coordinates):
Ti1 0.500 0.251 0.000
Ti2 0.833 0.748 0.333
Ti3 0.167 0.252 0.667
Ti4 0.500 0.749 0.000
Ti5 0.833 0.252 0.333
Ti6 0.167 0.748 0.667
Zn1 0.666 0.500 0.667
Zn2 0.670 0.000 0.660
Zn3 0.334 0.500 0.333
Zn4 0.000 0.500 0.000
Zn5 0.330 0.000 0.340
Ga1 0.000 0.000 0.000